--- 1 ---
A relaxed structure of CrNiRh4. Source: the Alexandria database, functional PBE-GGA.

Unit cell a=2.683 b=3.715 c=8.044 alpha=90.00 beta=90.00 gamma=90.00
Site moments in Bohr magnetons follow the coordinates.
Element x y z (fractional)
1 Rh 0.000 0.500 0.661  -0.09
2 Cr 0.500 0.000 0.500  0.69
3 Rh 0.000 0.500 0.339  -0.09
4 Rh 0.500 0.000 0.836  -0.10
5 Rh 0.500 0.000 0.164  -0.10
6 Ni 0.000 0.500 0.000  -0.10

Summary:
As for the symmetry: Pmmm, No. 47. For the density of states at the Fermi level, the calculation gives 9.289 states/eV/cell. The magnetic moment is 0.3 μB/cell. The value obtained for the density is 10.82 g/cm³.

=====

--- 2 ---
A relaxed structure of CrNiRh4. Source: the Alexandria database, functional PBE-GGA.

Unit cell a=5.066 b=5.066 c=5.066 alpha=60.00 beta=60.00 gamma=60.00
Site moments in Bohr magnetons follow the coordinates.
Element x y z (fractional)
1 Rh 0.625 0.625 0.125  -0.53
2 Rh 0.625 0.625 0.625  -0.53
3 Rh 0.125 0.625 0.625  -0.53
4 Rh 0.625 0.125 0.625  -0.53
5 Ni 0.000 0.000 0.000  -0.96
6 Cr 0.250 0.250 0.250  3.21

Summary:
As for the symmetry: F-43m, No. 216. For the density of states at the Fermi level, the calculation gives 10.507 states/eV/cell. The magnetic moment is 0.4 μB/cell. The value obtained for the density is 9.44 g/cm³.

=====

--- 3 ---
A relaxed structure of CrNiRh4. Source: the Alexandria database, functional PBE-GGA.

Unit cell a=5.622 b=5.688 c=5.688 alpha=90.00 beta=90.00 gamma=89.93
Element x y z (fractional)
1 Cr 0.000 0.750 0.250
2 Cr 0.000 0.250 0.750
3 Rh 0.246 0.000 0.000
4 Rh 0.754 0.500 0.500
5 Rh 0.754 0.000 0.500
6 Ni 0.500 0.250 0.250
7 Rh 0.246 0.500 0.000
8 Rh 0.246 0.000 0.500
9 Rh 0.754 0.500 0.000
10 Rh 0.246 0.500 0.500
11 Ni 0.500 0.750 0.750
12 Rh 0.754 0.000 0.000

Summary:
As for the symmetry: P4/mmm, No. 123. For the density of states at the Fermi level, the calculation gives 14.249 states/eV/cell. The magnetic moment is 0.1 μB/cell. The value obtained for the density is 9.54 g/cm³.

=====

Which one sits at the bottom of the stability order? 2 does.

=====

--- 1 ---
A relaxed structure of CrNiRh3. Source: the Alexandria database, functional PBE-GGA.

Unit cell a=6.540 b=6.779 c=6.779 alpha=86.32 beta=71.84 gamma=71.84
Element x y z (fractional)
1 Rh 0.463 0.044 0.305
2 Rh 0.963 0.305 0.044
3 Rh 0.956 0.690 0.598
4 Rh 0.537 0.956 0.695
5 Cr 0.681 0.226 0.603
6 Ni 0.250 0.960 0.040
7 Rh 0.608 0.693 0.010
8 Rh 0.044 0.310 0.402
9 Rh 0.544 0.402 0.310
10 Rh 0.456 0.598 0.690
11 Rh 0.892 0.990 0.307
12 Cr 0.319 0.774 0.397
13 Ni 0.250 0.335 0.665
14 Ni 0.750 0.040 0.960
15 Cr 0.819 0.397 0.774
16 Rh 0.392 0.307 0.990
17 Rh 0.037 0.695 0.956
18 Ni 0.750 0.665 0.335
19 Cr 0.181 0.603 0.226
20 Rh 0.108 0.010 0.693

Summary:
As for the symmetry: C2/c, No. 15. For the density of states at the Fermi level, the calculation gives 26.984 states/eV/cell. The magnetic moment is 0.0 μB/cell. The value obtained for the density is 10.27 g/cm³.

=====

--- 2 ---
A relaxed structure of CrNiRh3. Source: the Alexandria database, functional PBE-GGA.

Unit cell a=4.554 b=4.548 c=7.118 alpha=84.39 beta=71.35 gamma=72.24
Site moments in Bohr magnetons follow the coordinates.
Element x y z (fractional)
1 Rh 0.655 0.844 0.408  -0.11
2 Rh 0.458 0.844 0.803  -0.27
3 Rh 0.756 0.344 0.206  -0.11
4 Rh 0.150 0.344 0.419  -0.26
5 Rh 0.261 0.844 0.196  -0.26
6 Ni 0.556 0.344 0.606  -0.28
7 Ni 0.855 0.844 0.008  -0.28
8 Cr 0.358 0.344 0.002  1.97
9 Cr 0.053 0.844 0.613  1.97
10 Rh 0.953 0.344 0.812  -0.27

Summary:
As for the symmetry: C2/c, No. 15. For the density of states at the Fermi level, the calculation gives 13.146 states/eV/cell. The magnetic moment is 2.4 μB/cell. The value obtained for the density is 10.47 g/cm³.

=====

Which one sits at the bottom of the stability order? 1 does.